a | DFT (GGA-PBE) results for a geometry-optimized SmEr3Ru structure.

Computed properties:
The size of the total moment comes out at 0.00 μB/f.u.

```
5
Lattice="5.3569 0.0000 0.0000 0.0000 5.3569 0.0000 0.0000 0.0000 5.3569" Properties=species:S:1:pos:R:3 pbc="T T T"
Ru 0.0000 0.0000 0.0000
Sm 2.6784 2.6784 2.6784
Er 0.0000 2.6784 0.0000
Er 0.0000 0.0000 2.6784
Er 2.6784 0.0000 0.0000
```

***

b | DFT (GGA-PBE) results for a geometry-optimized SmEr3Ru structure.

Computed properties:
The size of the total moment comes out at 0.00 μB/f.u.

```
10
Lattice="7.2607 -0.1891 0.0116 -2.1684 6.9319 -0.0116 -2.8242 -3.1614 5.8246" Properties=species:S:1:pos:R:3 pbc="T T T"
Sm 2.8952 -2.1865 4.4671
Sm -0.6271 5.7679 1.3576
Er 5.1918 -0.7207 1.7650
Er -0.0547 2.1354 1.7534
Er 2.3228 1.4460 4.0713
Er 3.7140 2.4894 0.8550
Er -2.9237 4.3021 4.0597
Er -1.4459 1.0920 4.9696
Ru 1.9113 3.8508 2.2292
Ru 0.3567 -0.2694 3.5954
```

***

c | DFT (GGA-PBE) results for a geometry-optimized SmEr3Ru structure.

Computed properties:
The size of the total moment comes out at 0.00 μB/f.u.

```
10
Lattice="-0.3234 0.5120 -3.7375 -4.5667 -5.1342 1.6097 -7.8360 7.2961 1.6776" Properties=species:S:1:pos:R:3 pbc="T T T"
Sm -10.3727 3.7076 -0.5122
Sm -2.3534 -1.0337 0.0621
Er -3.4819 2.1601 0.5972
Er -9.2443 0.5139 -1.0474
Er -5.3221 -3.1129 0.0341
Er -7.4041 5.7869 -0.4843
Er -7.1398 2.4784 0.9574
Er -5.5863 0.1955 -1.4076
Ru -5.5574 3.5684 -0.9480
Ru -7.1688 -0.8945 0.4979
```

***

b ends up most stable, edging out the next structure by 0.015 eV/atom.

***

a | DFT (GGA-PBE) results for a geometry-optimized SmErRu structure.

Computed properties:
The size of the total moment comes out at 0.00 μB/f.u.

```
18
Lattice="-1.3773 -1.3106 -3.9135 4.7983 -5.8879 0.2832 -9.2412 -7.5203 5.7710" Properties=species:S:1:pos:R:3 pbc="T T T"
Sm -2.0223 -6.9589 -0.5855
Sm -2.2379 -11.4331 3.4074
Sm -3.5822 -3.2858 -1.2667
Sm 1.2852 -5.3720 -2.2810
Sm -3.7979 -7.7600 2.7262
Sm -7.1053 -9.3469 4.4217
Er 3.5235 -6.8097 -0.1687
Er -0.4949 -8.7758 1.9040
Er -5.3139 -10.6871 1.8215
Er -5.3252 -5.9431 0.2367
Er -0.5063 -4.0318 0.3192
Er -9.3436 -7.9092 2.3094
Ru -5.1218 -11.7042 4.5131
Ru -6.6434 -8.2228 1.4641
Ru -2.7669 -9.8640 0.6495
Ru -0.6984 -3.0147 -2.3724
Ru -3.0532 -4.8549 1.4912
Ru 0.8232 -6.4960 0.6766
```

***

b | DFT (GGA-PBE) results for a geometry-optimized SmErRu structure.

Computed properties:
The size of the total moment comes out at 0.00 μB/f.u.

```
3
Lattice="-4.1502 2.4185 -0.1021 -4.0105 -2.1734 -1.5088 -3.4798 -1.0667 3.1364" Properties=species:S:1:pos:R:3 pbc="T T T"
Ru -2.9101 -0.2054 0.3814
Sm -5.8202 -0.4108 0.7628
Er 0.0000 0.0000 0.0000
```

***

c | DFT (GGA-PBE) results for a geometry-optimized SmErRu structure.

Computed properties:
The size of the total moment comes out at 0.00 μB/f.u.

```
3
Lattice="-2.5838 1.5464 -1.6151 -0.4257 -2.7632 -1.9646 -2.7101 -1.8576 6.1717" Properties=species:S:1:pos:R:3 pbc="T T T"
Ru -2.9423 -1.4495 -0.2954
Sm -0.3217 -0.1882 0.3344
Er -2.4557 -1.4368 2.5530
```

***

a ends up most stable, edging out the next structure by 0.013 eV/atom.

***

a | DFT (GGA-PBE) results for a geometry-optimized SmEr2Ru2 structure.

Computed properties:
The size of the total moment comes out at 0.00 μB/f.u.

```
10
Lattice="4.3685 0.0000 0.0000 0.0000 5.2359 -0.5549 0.0000 -2.5424 11.2175" Properties=species:S:1:pos:R:3 pbc="T T T"
Sm 1.0921 3.4846 2.2350
Sm 3.2764 -0.7911 8.4276
Er 1.0921 2.0313 9.3923
Er 3.2764 0.6622 1.2704
Er 1.0921 0.1088 5.7011
Er 3.2764 2.5847 4.9615
Ru 1.0921 2.9028 6.6956
Ru 3.2764 -0.2093 3.9670
Ru 1.0921 -0.4361 10.8371
Ru 3.2764 3.1295 -0.1745
```

***

b | DFT (GGA-PBE) results for a geometry-optimized SmEr2Ru2 structure.

Computed properties:
The size of the total moment comes out at 0.00 μB/f.u.

```
5
Lattice="3.3824 0.0000 0.0000 0.0000 3.3494 0.6346 0.0000 -0.2279 10.3588" Properties=species:S:1:pos:R:3 pbc="T T T"
Sm 0.0000 0.0000 0.0000
Er 0.0000 0.4062 7.0122
Er 0.0000 2.7153 3.9812
Ru 1.6912 1.3254 2.1608
Ru 1.6912 1.7961 8.8326
```

***

b ends up most stable, edging out the next structure by 0.079 eV/atom.

***

a | DFT (GGA-PBE) results for a geometry-optimized Er3SnRu2 structure.

Computed properties:
The size of the total moment comes out at 0.00 μB/f.u.

```
12
Lattice="-1.3426 6.2411 1.0845 -3.8574 0.1896 -5.8665 -2.6915 -4.9486 5.8144" Properties=species:S:1:pos:R:3 pbc="T T T"
Er -1.6357 3.1679 -0.9244
Er -3.5644 3.2627 -3.8576
Er -2.6594 2.1061 3.9190
Er -3.3035 -0.7188 0.0467
Er -5.2322 -0.6240 -2.8865
Er -4.5881 2.2009 0.9857
Sn -1.9287 0.0948 -2.9332
Sn 0.0000 0.0000 0.0000
Ru -4.1372 0.0525 2.7221
Ru -2.3915 3.9648 1.7006
Ru -5.5001 -2.4827 -0.6682
Ru -3.7544 1.4296 -1.6896
```

***

b | DFT (GGA-PBE) results for a geometry-optimized Er3SnRu2 structure.

Computed properties:
The size of the total moment comes out at 0.00 μB/f.u.

```
6
Lattice="-2.1377 -2.3170 -1.3474 2.4346 -0.9577 -2.2157 3.5961 -7.5008 7.1932" Properties=species:S:1:pos:R:3 pbc="T T T"
Er 0.0000 0.0000 0.0000
Er 2.5233 -5.2631 5.0473
Er 1.0728 -2.2377 2.1459
Sn 1.9465 -5.3877 1.8150
Ru 3.1834 -7.9678 4.2893
Ru 0.7095 -2.8077 -0.6592
```

***

b ends up most stable, edging out the next structure by 0.229 eV/atom.

***

a | DFT (GGA-PBE) results for a geometry-optimized Tb2Er2Ru3 structure.

Computed properties:
The size of the total moment comes out at 0.00 μB/f.u.

```
7
Lattice="4.7087 0.0050 -1.3028 -2.5320 4.1703 0.0009 -0.2906 -0.1697 7.9770" Properties=species:S:1:pos:R:3 pbc="T T T"
Tb 2.5587 1.5537 0.0712
Tb -0.6725 2.4519 6.6039
Er 0.7570 0.4623 2.6944
Er 1.1292 3.5433 3.9807
Ru 0.0000 0.0000 0.0000
Ru 1.5096 0.9225 5.3502
Ru 0.3766 3.0831 1.3249
```

***

b | DFT (GGA-PBE) results for a geometry-optimized Tb2Er2Ru3 structure.

Computed properties:
The size of the total moment comes out at 0.00 μB/f.u.

```
7
Lattice="3.3490 0.3597 0.4947 -0.7997 7.5528 0.1233 0.8413 -0.8019 6.0045" Properties=species:S:1:pos:R:3 pbc="T T T"
Tb 2.4641 1.7587 5.4670
Tb 0.9265 5.3518 1.1555
Er 2.1481 6.0688 4.3074
Er 1.2425 1.0417 2.3151
Ru 0.0000 0.0000 0.0000
Ru 2.6760 3.4099 2.3475
Ru 0.7146 3.7006 4.2750
```

***

a ends up most stable, edging out the next structure by 0.058 eV/atom.

***

a | DFT (GGA-PBE) results for a geometry-optimized TbErRu structure.

Computed properties:
The size of the total moment comes out at 0.00 μB/f.u.

```
3
Lattice="3.3926 0.0000 0.0000 0.0000 3.3926 0.0000 -1.6963 -1.6963 6.4828" Properties=species:S:1:pos:R:3 pbc="T T T"
Ru 1.6963 1.6963 2.1825
Tb 0.0000 0.0000 0.5056
Er 0.0000 0.0000 3.7947
```

***

b | DFT (GGA-PBE) results for a geometry-optimized TbErRu structure.

Computed properties:
The size of the total moment comes out at 0.00 μB/f.u.

```
3
Lattice="4.7668 0.0000 0.0000 2.3834 4.1282 0.0000 2.3834 1.3761 3.8921" Properties=species:S:1:pos:R:3 pbc="T T T"
Ru 2.3834 1.3761 0.9730
Tb 0.0000 0.0000 0.0000
Er 4.7668 2.7521 1.9460
```

***

a ends up most stable, edging out the next structure by 0.056 eV/atom.